# BiPt3W

Crystalline BiPt3W at its relaxed geometry (PBE, the Alexandria database).

Calculated values
relative energy among the computed polymorphs = 0.000 eV per atom
calculated volume = 117 Å³ per cell
magnetic moment = 0.000 μB per atom

abc: 4.892 4.892 4.892
angles: 90.00 90.00 90.00
Fractional coordinates of all 5 atoms:
Bi 0.000 0.000 0.000
Pt 0.000 0.500 0.500
Pt 0.500 0.000 0.500
Pt 0.500 0.500 0.000
W 0.500 0.500 0.500